1.
Computed, not measured: a geometry-optimized Tb3Mg3In2Ir structure at the PBE level of DFT. Values from VASP.

Output
SG   P-62m, No. 189
E   -4.10 eV/atom

Geometry as Quantum ESPRESSO input:
```
&SYSTEM
  ibrav = 0, nat = 9, ntyp = 4
/
ATOMIC_SPECIES
Tb 158.93 Tb.upf
Mg 24.30 Mg.upf
In 114.82 In.upf
Ir 192.22 Ir.upf
CELL_PARAMETERS angstrom
7.455 0.000 0.000
-3.728 6.456 0.000
0.000 0.000 4.536
ATOMIC_POSITIONS crystal
Tb 0.000 0.611 0.000
Tb 0.389 0.389 0.000
Tb 0.611 0.000 0.000
Mg 0.000 0.229 0.500
Mg 0.229 0.000 0.500
Mg 0.771 0.771 0.500
In 0.333 0.667 0.500
In 0.667 0.333 0.500
Ir 0.000 0.000 0.000
```



2.
Computed, not measured: a geometry-optimized Tm3Mg3InIr2 structure at the PBE level of DFT. Values from VASP.

Output
SG   P-62m, No. 189
E   -4.79 eV/atom

Geometry as Quantum ESPRESSO input:
```
&SYSTEM
  ibrav = 0, nat = 9, ntyp = 4
/
ATOMIC_SPECIES
Tm 168.93 Tm.upf
Mg 24.30 Mg.upf
In 114.82 In.upf
Ir 192.22 Ir.upf
CELL_PARAMETERS angstrom
7.337 0.000 0.000
-3.669 6.354 0.000
0.000 0.000 4.168
ATOMIC_POSITIONS crystal
Tm 0.000 0.427 0.000
Tm 0.427 0.000 0.000
Tm 0.573 0.573 0.000
Mg 0.000 0.739 0.500
Mg 0.261 0.261 0.500
Mg 0.739 0.000 0.500
In 0.000 0.000 0.000
Ir 0.333 0.667 0.500
Ir 0.667 0.333 0.500
```



3.
Computed, not measured: a geometry-optimized InMo2Ir structure at the PBE level of DFT. Values from VASP.

Output
SG   F-43m, No. 216
E   -8.11 eV/atom

Geometry as Quantum ESPRESSO input:
```
&SYSTEM
  ibrav = 0, nat = 4, ntyp = 3
/
ATOMIC_SPECIES
In 114.82 In.upf
Mo 95.94 Mo.upf
Ir 192.22 Ir.upf
CELL_PARAMETERS angstrom
0.000 3.209 3.209
3.209 0.000 3.209
3.209 3.209 0.000
ATOMIC_POSITIONS crystal
In 0.000 0.000 0.000
Mo 0.500 0.500 0.500
Mo 0.750 0.750 0.750
Ir 0.250 0.250 0.250
```



Question: The highest E belongs to which entry?
Answer: Tb3Mg3In2Ir



Question: Among the records above, which one has the highest E?
Answer: Tb3Mg3In2Ir



Question: What is the formula in the third record?
Answer: InMo2Ir